# 1
Entry from Alexandria via LeMat-Bulk: Pm2NdPt after structural relaxation (PBE-GGA).

Lattice parameters (Å, degrees): 7.2381 9.9757 6.6572 90.00 90.00 90.00
Closest atoms and distances in Å follow each position.
Space group Pnma (No. 62)
Unique sites:
Pm (0.1783, 0.0618, 0.1728) [8 per cell]  2 Pt 2.93-2.96
Nd (0.0262, 0.2500, 0.6388) [4 per cell]  2 Pt 2.92-3.02
Pt (0.1162, 0.7500, 0.9343) [4 per cell]  2 Nd 2.92-3.02, 4 Pm 2.93-2.96

Computed properties:
Distance to the lowest polymorph of the same formula = 0.000 eV/f.u.

# 2
Entry from Alexandria via LeMat-Bulk: PmNd2Pt after structural relaxation (PBE-GGA).

Lattice parameters (Å, degrees): 7.2449 10.0641 6.6536 90.00 90.00 90.00
Closest atoms and distances in Å follow each position.
Space group Pnma (No. 62)
Unique sites:
Pm (0.0277, 0.2500, 0.1417) [4 per cell]  2 Pt 2.91-2.98
Nd (0.1790, 0.0619, 0.6732) [8 per cell]  2 Pt 2.96-2.98
Pt (0.1170, 0.7500, 0.4385) [4 per cell]  2 Pm 2.91-2.98, 4 Nd 2.96-2.98

Computed properties:
Distance to the lowest polymorph of the same formula = 0.000 eV/f.u.

# 3
Entry from Alexandria via LeMat-Bulk: Pm3NdPt2 after structural relaxation (PBE-GGA).

Lattice parameters (Å, degrees): 13.1084 6.9404 7.9286 90.00 107.58 90.00
Closest atoms and distances in Å follow each position.
Space group C2/c (No. 15)
Unique sites:
Pm (0.0000, 0.2422, 0.2500) [4 per cell]  4 Pt 3.02
Pm (0.2148, 0.5004, 0.1073) [8 per cell]  2 Pt 2.83
Nd (0.0000, 0.2474, 0.7500) [4 per cell]  4 Pt 3.04, 1 Pm 3.40
Pt (0.1234, 0.0002, 0.0617) [8 per cell]  4 Pm 2.83-3.02, 2 Nd 3.04, 1 Pt 3.09

Computed properties:
Distance to the lowest polymorph of the same formula = 0.000 eV/f.u.

# 4
Entry from Alexandria via LeMat-Bulk: Pm2Nd5Pt5 after structural relaxation (PBE-GGA).

Lattice parameters (Å, degrees): 13.8379 4.0675 12.4437 90.00 104.14 90.00
Closest atoms and distances in Å follow each position.
Space group C2/m (No. 12)
Unique sites:
Pm (0.0402, 0.0000, 0.2836) [4 per cell]  4 Pt 2.88-2.93
Nd (0.0000, 0.5000, 0.0000) [2 per cell]  4 Pt 2.92
Nd (0.1555, 0.5000, 0.5472) [4 per cell]  5 Pt 2.91-3.10
Nd (0.2462, 0.5000, 0.8585) [4 per cell]  5 Pt 2.93-3.19
Pt (0.0000, 0.0000, 0.5000) [2 per cell]  2 Pm 2.88, 4 Nd 2.91
Pt (0.1171, 0.0000, 0.9205) [4 per cell]  1 Pm 2.91, 5 Nd 2.92-2.93
Pt (0.1968, 0.5000, 0.3137) [4 per cell]  2 Pm 2.93, 5 Nd 3.10-3.19

# 5
Entry from Alexandria via LeMat-Bulk: Pm3Nd3Pt4 after structural relaxation (PBE-GGA).

Lattice parameters (Å, degrees): 4.0377 11.2805 11.3098 90.00 90.00 90.00
Closest atoms and distances in Å follow each position.
Space group Amm2 (No. 38)
Unique sites:
Pm (0.0000, 0.0000, 0.0000) [2 per cell]  6 Pt 3.06-3.12
Pm (0.0000, 0.1630, 0.6635) [4 per cell]  6 Pt 3.06-3.12
Nd (0.0000, 0.0000, 0.3262) [2 per cell]  6 Pt 3.08-3.13
Nd (0.5000, 0.2502, 0.4134) [4 per cell]  4 Pt 3.10-3.13
Pt (0.5000, 0.0000, 0.5316) [2 per cell]  1 Pt 3.00, 4 Nd 3.08-3.12, 4 Pm 3.11
Pt (0.5000, 0.0000, 0.7968) [2 per cell]  1 Pt 3.00, 6 Pm 3.06-3.12, 2 Nd 3.11
Pt (0.5000, 0.1337, 0.1621) [4 per cell]  1 Pt 3.02, 4 Pm 3.06-3.12, 4 Nd 3.10-3.13

# 6
Entry from Alexandria via LeMat-Bulk: Pm2NdPt after structural relaxation (PBE-GGA).

Lattice parameters (Å, degrees): 3.9215 3.9215 29.0181 90.00 90.00 120.00
Closest atoms and distances in Å follow each position.
Space group R-3m (No. 166, hexagonal axes)
Unique sites:
Pm (0.0000, 0.0000, 0.2281) [6 per cell]  3 Pt 2.88
Nd (0.0000, 0.0000, 0.0000) [3 per cell]  6 Pm 3.80, 6 Nd 3.92
Pt (0.0000, 0.0000, 0.5000) [3 per cell]  6 Pm 2.88

Computed properties:
Distance to the lowest polymorph of the same formula = 0.698 eV/f.u.

# 7
Entry from Alexandria via LeMat-Bulk: PmNd2Pt after structural relaxation (PBE-GGA).

Lattice parameters (Å, degrees): 4.0275 4.0275 28.0495 90.00 90.00 120.00
Closest atoms and distances in Å follow each position.
Space group R3m (No. 160, hexagonal axes)
Unique sites:
Pm (0.0000, 0.0000, 0.0000) [3 per cell]  6 Nd 3.74-3.78, 6 Pm 4.03
Nd (0.0000, 0.0000, 0.2290) [3 per cell]  3 Pt 2.89
Nd (0.0000, 0.0000, 0.4396) [3 per cell]  3 Pt 2.90
Pt (0.0000, 0.0000, 0.8348) [3 per cell]  6 Nd 2.89-2.90

Computed properties:
Distance to the lowest polymorph of the same formula = 0.694 eV/f.u.

# 8
Entry from Alexandria via LeMat-Bulk: PmNd3Pt2 after structural relaxation (PBE-GGA).

Lattice parameters (Å, degrees): 3.8806 10.1101 8.7741 90.00 90.00 90.00
Closest atoms and distances in Å follow each position.
Space group Pmc2_1 (No. 26)
Unique sites:
Pm (0.0000, 0.0568, 0.0000) [2 per cell]  4 Pt 3.04-3.08
Nd (0.0000, 0.2781, 0.6664) [2 per cell]  3 Pt 2.95-3.03
Nd (0.5000, 0.2204, 0.3261) [2 per cell]  3 Pt 2.95-3.01
Nd (0.5000, 0.4421, 0.9919) [2 per cell]  4 Pt 3.05-3.08
Pt (0.0000, 0.4343, 0.2650) [2 per cell]  7 Nd 2.95-3.08
Pt (0.5000, 0.0647, 0.7270) [2 per cell]  3 Nd 2.95-3.01, 4 Pm 3.04-3.08

Computed properties:
Distance to the lowest polymorph of the same formula = 0.000 eV/f.u.

# 9
Entry from Alexandria via LeMat-Bulk: PmNd2Pt3 after structural relaxation (PBE-GGA).

Lattice parameters (Å, degrees): 4.1928 5.9204 12.5745 90.00 90.00 90.00
Closest atoms and distances in Å follow each position.
Space group Immm (No. 71)
Unique sites:
Pm (0.0000, 0.0000, 0.0000) [2 per cell]  6 Pt 2.95-2.96
Nd (0.0000, 0.0000, 0.3331) [4 per cell]  6 Pt 2.96-2.97
Pt (0.0000, 0.5000, 0.0000) [2 per cell]  2 Pm 2.96, 4 Nd 2.97
Pt (0.0000, 0.5000, 0.3346) [4 per cell]  2 Pm 2.95, 4 Nd 2.96-2.97

# 10
Entry from Alexandria via LeMat-Bulk: Pm3Nd2Pt4 after structural relaxation (PBE-GGA).

Lattice parameters (Å, degrees): 7.7321 7.7546 8.0616 90.00 108.37 90.00
Closest atoms and distances in Å follow each position.
Space group P2_1/c (No. 14)
Unique sites:
Pm (0.0000, 0.0000, 0.0000) [2 per cell]  6 Pt 2.99-3.20
Pm (0.2588, 0.1663, 0.7491) [4 per cell]  6 Pt 2.90-3.10
Nd (0.2980, 0.6792, 0.9063) [4 per cell]  6 Pt 3.03-3.31
Pt (0.0047, 0.6312, 0.1258) [4 per cell]  1 Pt 2.86, 5 Pm 2.99-3.20, 1 Nd 3.03
Pt (0.4060, 0.0308, 0.1297) [4 per cell]  4 Pm 2.90-3.10, 1 Pt 2.94, 2 Nd 3.08-3.23

Computed properties:
Distance to the lowest polymorph of the same formula = 0.000 eV/f.u.

# 11
Entry from Alexandria via LeMat-Bulk: Pm2Nd3Pt4 after structural relaxation (PBE-GGA).

Lattice parameters (Å, degrees): 7.7728 7.7764 8.0440 90.00 108.09 90.00
Closest atoms and distances in Å follow each position.
Space group P2_1/c (No. 14)
Unique sites:
Pm (0.2031, 0.1813, 0.0956) [4 per cell]  6 Pt 3.02-3.34
Nd (0.2398, 0.6675, 0.2514) [4 per cell]  6 Pt 2.90-3.12
Nd (0.5000, 0.0000, 0.5000) [2 per cell]  6 Pt 3.00-3.19
Pt (0.0944, 0.5272, 0.8702) [4 per cell]  4 Nd 2.90-3.12, 1 Pt 2.93, 2 Pm 3.06-3.21
Pt (0.4931, 0.1306, 0.8741) [4 per cell]  1 Pt 2.85, 4 Nd 3.00-3.10, 1 Pm 3.02

# 12
Entry from Alexandria via LeMat-Bulk: Pm2NdPt2 after structural relaxation (PBE-GGA).

Lattice parameters (Å, degrees): 7.9806 7.9806 4.0297 90.00 90.00 90.00
Closest atoms and distances in Å follow each position.
Space group P4/mbm (No. 127)
Unique sites:
Pm (0.1628, 0.3372, 0.0000) [4 per cell]  6 Pt 3.06-3.11
Nd (0.0000, 0.0000, 0.5000) [2 per cell]  4 Pt 3.11
Pt (0.1334, 0.6334, 0.5000) [4 per cell]  1 Pt 3.01, 6 Pm 3.06-3.11, 2 Nd 3.11

Computed properties:
Distance to the lowest polymorph of the same formula = 0.000 eV/f.u.

# 13
Entry from Alexandria via LeMat-Bulk: Pm3NdPt2 after structural relaxation (PBE-GGA).

Lattice parameters (Å, degrees): 16.7277 5.3708 7.5361 90.00 94.26 90.00
Closest atoms and distances in Å follow each position.
Space group C2/m (No. 12)
Unique sites:
Pm (0.0351, 0.0000, 0.2749) [4 per cell]  3 Pt 2.81-3.00
Pm (0.1058, 0.5000, 0.0197) [4 per cell]  2 Pt 2.84-3.03
Pm (0.1623, 0.5000, 0.4949) [4 per cell]  3 Pt 2.89-3.12
Nd (0.1955, 0.0000, 0.8351) [4 per cell]  3 Pt 2.91-3.15
Pt (0.0107, 0.5000, 0.6918) [4 per cell]  6 Pm 2.81-3.12, 1 Pt 2.89
Pt (0.2114, 0.0000, 0.2222) [4 per cell]  2 Pm 2.89-3.00, 3 Nd 2.91-3.15

Computed properties:
Distance to the lowest polymorph of the same formula = 0.242 eV/f.u.

# 14
Entry from Alexandria via LeMat-Bulk: Pm5NdPt2 after structural relaxation (PBE-GGA).

Lattice parameters (Å, degrees): 4.0531 7.5750 16.3180 90.00 90.00 90.00
Closest atoms and distances in Å follow each position.
Space group Immm (No. 71)
Unique sites:
Pm (0.0000, 0.0000, 0.0000) [2 per cell]  2 Pt 3.24
Pm (0.0000, 0.2444, 0.3461) [8 per cell]  3 Pt 2.90-3.04
Nd (0.0000, 0.5000, 0.0000) [2 per cell]  10 Pm 3.72-3.79, 2 Nd 4.05
Pt (0.0000, 0.0000, 0.1984) [4 per cell]  7 Pm 2.90-3.24

# 15
Entry from Alexandria via LeMat-Bulk: PmNdPt after structural relaxation (PBE-GGA).

Lattice parameters (Å, degrees): 7.6569 7.6569 9.6870 90.00 90.00 120.00
Closest atoms and distances in Å follow each position.
Space group P-62c (No. 190)
Unique sites:
Pm (0.0006, 0.5939, 0.2500) [6 per cell]  5 Pt 3.11-3.37
Nd (0.0000, 0.2630, 0.0000) [6 per cell]  4 Pt 2.86-3.15
Pt (0.0000, 0.0000, 0.2500) [2 per cell]  3 Pm 3.11, 6 Nd 3.15
Pt (0.3333, 0.6667, 0.0014) [4 per cell]  3 Nd 2.86

Computed properties:
Distance to the lowest polymorph of the same formula = 0.000 eV/f.u.

# 16
Entry from Alexandria via LeMat-Bulk: Pm2NdPt after structural relaxation (PBE-GGA).

Lattice parameters (Å, degrees): 3.6602 3.6602 8.7723 90.00 90.00 90.00
Closest atoms and distances in Å follow each position.
Space group P4/mmm (No. 123)
Unique sites:
Pm (0.0000, 0.0000, 0.1915) [2 per cell]  4 Pt 3.09, 1 Pm 3.36
Nd (0.5000, 0.5000, 0.5000) [1 per cell]  4 Nd 3.66, 8 Pm 3.74
Pt (0.5000, 0.5000, 0.0000) [1 per cell]  8 Pm 3.09

Computed properties:
Distance to the lowest polymorph of the same formula = 0.507 eV/f.u.

# 17
Entry from Alexandria via LeMat-Bulk: PmNd3Pt after structural relaxation (PBE-GGA).

Lattice parameters (Å, degrees): 12.4597 3.8811 14.1494 90.00 114.68 90.00
Closest atoms and distances in Å follow each position.
Space group Cm (No. 8)
Unique sites:
Pm (0.0000, 0.0000, 0.0000) [2 per cell]  2 Pt 2.94
Pm (0.1132, 0.0000, 0.2862) [2 per cell]  3 Pt 2.93-3.16
Nd (0.1540, 0.5000, 0.5266) [2 per cell]  2 Pt 3.07
Nd (0.1747, 0.5000, 0.8949) [2 per cell]  9 Nd 3.64-4.04, 3 Pm 3.66-3.69, 1 Pt 3.72
Nd (0.3182, 0.0000, 0.7632) [2 per cell]  10 Nd 3.64-4.04, 2 Pm 3.71, 1 Pt 3.74
Nd (0.3396, 0.0000, 0.1296) [2 per cell]  2 Pt 3.10
Nd (0.3796, 0.5000, 0.3689) [2 per cell]  3 Pt 2.95-3.17
Nd (0.4929, 0.5000, 0.6580) [2 per cell]  2 Pt 2.97
Pt (0.1568, 0.5000, 0.1510) [2 per cell]  4 Pm 2.93-2.94, 3 Nd 3.10-3.17
Pt (0.3332, 0.0000, 0.5044) [2 per cell]  6 Nd 2.95-3.07, 1 Pm 3.16

Computed properties:
Distance to the lowest polymorph of the same formula = 0.000 eV/f.u.

# 18
Entry from Alexandria via LeMat-Bulk: Pm3NdPt after structural relaxation (PBE-GGA).

Lattice parameters (Å, degrees): 12.3318 3.8806 13.8006 90.00 111.81 90.00
Closest atoms and distances in Å follow each position.
Space group Cm (No. 8)
Unique sites:
Pm (0.0000, 0.0000, 0.0000) [2 per cell]  1 Pt 3.38, 7 Pm 3.54-3.64, 2 Nd 3.70
Pm (0.0284, 0.0000, 0.3810) [2 per cell]  2 Pt 3.02
Pm (0.0683, 0.5000, 0.6242) [2 per cell]  2 Pt 2.92
Pm (0.1910, 0.5000, 0.9140) [2 per cell]  2 Pt 2.95
Pm (0.3424, 0.0000, 0.7673) [2 per cell]  2 Pt 3.05
Pm (0.3717, 0.0000, 0.1465) [2 per cell]  1 Pt 3.40, 3 Nd 3.55-3.58, 6 Pm 3.57-3.70
Nd (0.1809, 0.5000, 0.2325) [2 per cell]  2 Pt 2.98
Nd (0.3034, 0.5000, 0.5258) [2 per cell]  2 Pt 2.94
Pt (0.0331, 0.0000, 0.7679) [2 per cell]  6 Pm 2.92-3.05
Pt (0.3408, 0.0000, 0.3812) [2 per cell]  4 Nd 2.94-2.98, 2 Pm 3.02

Computed properties:
Distance to the lowest polymorph of the same formula = 0.000 eV/f.u.

# 19
Entry from Alexandria via LeMat-Bulk: Pm3NdPt after structural relaxation (PBE-GGA).

Lattice parameters (Å, degrees): 6.6382 5.2742 8.8392 90.00 96.56 90.00
Closest atoms and distances in Å follow each position.
Space group P2_1/m (No. 11)
Unique sites:
Pm (0.1692, 0.2500, 0.0172) [2 per cell]  1 Pt 2.83
Pm (0.2167, 0.2500, 0.4393) [2 per cell]  1 Pt 2.80
Pm (0.2686, 0.7500, 0.7452) [2 per cell]  2 Pt 3.11, 1 Pm 3.44, 2 Nd 3.46
Nd (0.3921, 0.7500, 0.2086) [2 per cell]  1 Pt 2.93
Pt (0.0209, 0.2500, 0.7037) [2 per cell]  4 Pm 2.80-3.11, 1 Nd 2.93

Computed properties:
Distance to the lowest polymorph of the same formula = 0.290 eV/f.u.

# 20
Entry from Alexandria via LeMat-Bulk: Pm2NdPt after structural relaxation (PBE-GGA).

Lattice parameters (Å, degrees): 3.9198 12.2422 9.8847 90.00 90.00 90.00
Closest atoms and distances in Å follow each position.
Space group Cmcm (No. 63)
Unique sites:
Pm (0.0000, 0.1379, 0.0635) [8 per cell]  2 Pt 2.93
Nd (0.0000, 0.4248, 0.2500) [4 per cell]  2 Pt 3.06
Pt (0.0000, 0.2675, 0.7500) [4 per cell]  4 Pm 2.93, 2 Nd 3.06

Computed properties:
Distance to the lowest polymorph of the same formula = 0.124 eV/f.u.

Record order is preserved below.
Volume: 480.69 485.13 687.63 679.18 515.13 386.47 394.03 344.24 312.14 458.73 462.18 256.65 675.19 500.99 491.85 117.52 621.72 613.14 307.44 474.34 Å³ per cell
Record order is preserved below.
Formation energy: -61.3 -60.5 -73.0 -91.9 -90.2 -44.5 -43.7 -75.3 -101.5 -101.2 -99.0 -90.6 -69.1 -51.4 -72.6 -49.1 -45.6 -45.7 -40.1 -58.3 kJ/mol of atoms
Record order is preserved below.
Energy: -5.71 -5.71 -5.94 -6.25 -6.21 -5.54 -5.53 -5.97 -6.45 -6.38 -6.36 -6.21 -5.90 -5.61 -5.94 -5.59 -5.49 -5.49 -5.43 -5.68 eV/atom